Computed, not measured: a relaxed structure of ErTm3Zn2 at the GGA-PBE level of DFT.

Calculated values
Energy above the most stable polymorph in this dataset: 12.8 meV/atom

Cell and atoms, written as CIF:
```
data_ErTm3Zn2
_chemical_formula_sum 'Er1 Tm3 Zn2'
_cell_length_a 3.518
_cell_length_b 3.518
_cell_length_c 12.011
_cell_angle_alpha 90.00
_cell_angle_beta 90.00
_cell_angle_gamma 90.00
_space_group_name_H-M_alt 'P 4/m m m'
_space_group_IT_number 123
_space_group_name_Hall '-P 4 2'
loop_
_atom_site_label
_atom_site_fract_x
_atom_site_fract_y
_atom_site_fract_z
_atom_site_occupancy
Er1 0.000 0.000 0.000 1
Tm1 0.500 0.500 0.209 1
Tm2 0.500 0.500 0.500 1
Zn1 0.000 0.000 0.355 1
```

Computed, not measured: a relaxed structure of Er7TmZn4 at the GGA-PBE level of DFT.

Calculated values
DFT total energy: -3.45 eV per atom

Cell and atoms, written as CIF:
```
data_Er7TmZn4
_chemical_formula_sum 'Er14 Tm2 Zn8'
_cell_length_a 13.837
_cell_length_b 5.466
_cell_length_c 9.637
_cell_angle_alpha 90.00
_cell_angle_beta 123.12
_cell_angle_gamma 90.00
_space_group_name_H-M_alt 'C 1 2/m 1'
_space_group_IT_number 12
loop_
_space_group_symop_operation_xyz
'x,y,z'
'-x,-y,-z'
'-x,y,-z'
'x,-y,z'
'x+1/2,y+1/2,z'
'-x+1/2,-y+1/2,-z'
'-x+1/2,y+1/2,-z'
'x+1/2,-y+1/2,z'
loop_
_atom_site_label
_atom_site_fract_x
_atom_site_fract_y
_atom_site_fract_z
_atom_site_occupancy
Er1 0.000 0.000 0.000 1
Er2 0.071 0.500 0.405 1
Er3 0.211 0.500 0.881 1
Er4 0.224 0.000 0.674 1
Tm1 0.000 0.500 0.000 1
Zn1 0.043 0.000 0.736 1
Zn2 0.178 0.000 0.338 1
```

Computed, not measured: a relaxed structure of ErTm3Zn8 at the GGA-PBE level of DFT.

Calculated values
DFT total energy: -2.68 eV per atom

Cell and atoms, written as CIF:
```
data_ErTm3Zn8
_chemical_formula_sum 'Er3 Tm9 Zn24'
_cell_length_a 5.4289
_cell_length_b 5.4289
_cell_length_c 26.4324
_cell_angle_alpha 90.00
_cell_angle_beta 90.00
_cell_angle_gamma 120.00
_space_group_name_H-M_alt 'R 3 m'
_space_group_IT_number 160
_space_group_name_Hall 'R 3 -2"'
loop_
_atom_site_label
_atom_site_fract_x
_atom_site_fract_y
_atom_site_fract_z
_atom_site_occupancy
Er1 0.0000 0.0000 0.0000 1
Tm1 0.0000 0.0000 0.1248 1
Tm2 0.0000 0.0000 0.4999 1
Tm3 0.0000 0.0000 0.6247 1
Zn1 0.0000 0.0000 0.3124 1
Zn2 0.0000 0.0000 0.8123 1
Zn3 0.0002 0.5001 0.0625 1
Zn4 0.9998 0.4999 0.5622 1
```

Computed, not measured: a relaxed structure of Er4TmZn at the GGA-PBE level of DFT.

Calculated values
Energy above the most stable polymorph in this dataset: 103.5 meV/atom

Cell and atoms, written as CIF:
```
data_Er4TmZn
_chemical_formula_sum 'Er16 Tm4 Zn4'
_cell_length_a 8.676
_cell_length_b 13.399
_cell_length_c 6.139
_cell_angle_alpha 90.00
_cell_angle_beta 108.50
_cell_angle_gamma 90.00
_space_group_name_H-M_alt 'C 1 2/c 1'
_space_group_IT_number 15
loop_
_space_group_symop_operation_xyz
'x,y,z'
'-x,-y,-z'
'-x,y,-z+1/2'
'x,-y,z+1/2'
'x+1/2,y+1/2,z'
'-x+1/2,-y+1/2,-z'
'-x+1/2,y+1/2,-z+1/2'
'x+1/2,-y+1/2,z+1/2'
loop_
_atom_site_label
_atom_site_fract_x
_atom_site_fract_y
_atom_site_fract_z
_atom_site_occupancy
Er1 0.102 0.183 0.047 1
Er2 0.223 0.385 0.376 1
Tm1 0.000 0.406 0.750 1
Zn1 0.000 0.000 0.250 1
```

Computed, not measured: a relaxed structure of Er2TmZn5 at the GGA-PBE level of DFT.

Calculated values
DFT total energy: -2.81 eV per atom

Cell and atoms, written as CIF:
```
data_Er2TmZn5
_chemical_formula_sum 'Er4 Tm2 Zn10'
_cell_length_a 4.771
_cell_length_b 4.771
_cell_length_c 13.949
_cell_angle_alpha 90.00
_cell_angle_beta 90.00
_cell_angle_gamma 90.00
_space_group_name_H-M_alt 'I 4/m m m'
_space_group_IT_number 139
_space_group_name_Hall '-I 4 2'
loop_
_atom_site_label
_atom_site_fract_x
_atom_site_fract_y
_atom_site_fract_z
_atom_site_occupancy
Er1 0.000 0.000 0.235 1
Tm1 0.000 0.000 0.500 1
Zn1 0.000 0.000 0.000 1
Zn2 0.000 0.500 0.115 1
```

Computed, not measured: a relaxed structure of ErTm3Zn2 at the GGA-PBE level of DFT.

Calculated values
Energy above the most stable polymorph in this dataset: 0.0 meV/atom

Cell and atoms, written as CIF:
```
data_ErTm3Zn2
_chemical_formula_sum 'Er2 Tm6 Zn4'
_cell_length_a 4.939
_cell_length_b 8.942
_cell_length_c 6.702
_cell_angle_alpha 90.00
_cell_angle_beta 90.00
_cell_angle_gamma 90.00
_space_group_name_H-M_alt 'P m c 21'
_space_group_IT_number 26
loop_
_space_group_symop_operation_xyz
'x,y,z'
'-x,-y,z+1/2'
'-x,y,z'
'x,-y,z+1/2'
loop_
_atom_site_label
_atom_site_fract_x
_atom_site_fract_y
_atom_site_fract_z
_atom_site_occupancy
Er1 0.000 0.056 0.000 1
Tm1 0.000 0.325 0.649 1
Tm2 0.500 0.177 0.316 1
Tm3 0.500 0.444 0.964 1
Zn1 0.000 0.352 0.211 1
Zn2 0.500 0.148 0.754 1
```

Computed, not measured: a relaxed structure of Er4TmZn4 at the GGA-PBE level of DFT.

Calculated values
DFT total energy: -3.15 eV per atom

Cell and atoms, written as CIF:
```
data_Er4TmZn4
_chemical_formula_sum 'Er8 Tm2 Zn8'
_cell_length_a 8.775
_cell_length_b 8.775
_cell_length_c 5.967
_cell_angle_alpha 90.00
_cell_angle_beta 90.00
_cell_angle_gamma 90.00
_space_group_name_H-M_alt 'P 42/n'
_space_group_IT_number 86
loop_
_space_group_symop_operation_xyz
'x,y,z'
'-x,-y,-z'
'-y,x+1/2,z+1/2'
'y,-x+1/2,-z+1/2'
'-x+1/2,-y+1/2,z'
'x+1/2,y+1/2,-z'
'y+1/2,-x,z+1/2'
'-y+1/2,x,-z+1/2'
loop_
_atom_site_label
_atom_site_fract_x
_atom_site_fract_y
_atom_site_fract_z
_atom_site_occupancy
Er1 0.048 0.660 0.144 1
Tm1 0.250 0.250 0.250 1
Zn1 0.023 0.625 0.623 1
```

Computed, not measured: a relaxed structure of ErTm5Zn6 at the GGA-PBE level of DFT.

Calculated values
DFT total energy: -3.23 eV per atom

Cell and atoms, written as CIF:
```
data_ErTm5Zn6
_chemical_formula_sum 'Er2 Tm10 Zn12'
_cell_length_a 4.976
_cell_length_b 14.963
_cell_length_c 7.054
_cell_angle_alpha 90.00
_cell_angle_beta 90.00
_cell_angle_gamma 90.00
_space_group_name_H-M_alt 'C m m m'
_space_group_IT_number 65
_space_group_name_Hall '-C 2 2'
loop_
_atom_site_label
_atom_site_fract_x
_atom_site_fract_y
_atom_site_fract_z
_atom_site_occupancy
Er1 0.000 0.000 0.000 1
Tm1 0.000 0.000 0.500 1
Tm2 0.000 0.333 0.000 1
Tm3 0.000 0.334 0.500 1
Zn1 0.000 0.167 0.251 1
Zn2 0.000 0.500 0.251 1
```

Computed, not measured: a relaxed structure of Er3TmZn2 at the GGA-PBE level of DFT.

Calculated values
Energy above the most stable polymorph in this dataset: 15.0 meV/atom

Cell and atoms, written as CIF:
```
data_Er3TmZn2
_chemical_formula_sum 'Er3 Tm1 Zn2'
_cell_length_a 3.532
_cell_length_b 3.532
_cell_length_c 12.025
_cell_angle_alpha 90.00
_cell_angle_beta 90.00
_cell_angle_gamma 90.00
_space_group_name_H-M_alt 'P 4/m m m'
_space_group_IT_number 123
_space_group_name_Hall '-P 4 2'
loop_
_atom_site_label
_atom_site_fract_x
_atom_site_fract_y
_atom_site_fract_z
_atom_site_occupancy
Er1 0.000 0.000 0.000 1
Er2 0.000 0.000 0.292 1
Tm1 0.500 0.500 0.500 1
Zn1 0.500 0.500 0.146 1
```

Computed, not measured: a relaxed structure of Er4TmZn5 at the GGA-PBE level of DFT.

Calculated values
DFT total energy: -3.26 eV per atom

Cell and atoms, written as CIF:
```
data_Er4TmZn5
_chemical_formula_sum 'Er4 Tm1 Zn5'
_cell_length_a 3.534
_cell_length_b 3.534
_cell_length_c 17.682
_cell_angle_alpha 90.00
_cell_angle_beta 90.00
_cell_angle_gamma 90.00
_space_group_name_H-M_alt 'P 4/m m m'
_space_group_IT_number 123
_space_group_name_Hall '-P 4 2'
loop_
_atom_site_label
_atom_site_fract_x
_atom_site_fract_y
_atom_site_fract_z
_atom_site_occupancy
Er1 0.000 0.000 0.100 1
Er2 0.000 0.000 0.300 1
Tm1 0.000 0.000 0.500 1
Zn1 0.500 0.500 0.000 1
Zn2 0.500 0.500 0.200 1
Zn3 0.500 0.500 0.401 1
```

Computed, not measured: a relaxed structure of ErTmZn at the GGA-PBE level of DFT.

Calculated values
Energy above the most stable polymorph in this dataset: 225.2 meV/atom

Cell and atoms, written as CIF:
```
data_ErTmZn
_chemical_formula_sum 'Er4 Tm4 Zn4'
_cell_length_a 9.753
_cell_length_b 4.876
_cell_length_c 6.947
_cell_angle_alpha 90.00
_cell_angle_beta 90.00
_cell_angle_gamma 90.00
_space_group_name_H-M_alt 'P n m a'
_space_group_IT_number 62
loop_
_space_group_symop_operation_xyz
'x,y,z'
'-x,-y,-z'
'-x+1/2,-y,z+1/2'
'x+1/2,y,-z+1/2'
'x+1/2,-y+1/2,-z+1/2'
'-x+1/2,y+1/2,z+1/2'
'-x,y+1/2,-z'
'x,-y+1/2,z'
loop_
_atom_site_label
_atom_site_fract_x
_atom_site_fract_y
_atom_site_fract_z
_atom_site_occupancy
Er1 0.126 0.250 0.001 1
Tm1 0.124 0.250 0.501 1
Zn1 0.125 0.750 0.251 1
```

Computed, not measured: a relaxed structure of ErTmZn at the GGA-PBE level of DFT.

Calculated values
Energy above the most stable polymorph in this dataset: 0.0 meV/atom

Cell and atoms, written as CIF:
```
data_ErTmZn
_chemical_formula_sum 'Er2 Tm2 Zn2'
_cell_length_a 3.527
_cell_length_b 3.527
_cell_length_c 12.050
_cell_angle_alpha 90.00
_cell_angle_beta 90.00
_cell_angle_gamma 90.00
_space_group_name_H-M_alt 'I 4 m m'
_space_group_IT_number 107
_space_group_name_Hall 'I 4 -2'
loop_
_atom_site_label
_atom_site_fract_x
_atom_site_fract_y
_atom_site_fract_z
_atom_site_occupancy
Er1 0.000 0.000 0.000 1
Tm1 0.000 0.000 0.711 1
Zn1 0.000 0.000 0.354 1
```

Computed, not measured: a relaxed structure of Er4TmZn at the GGA-PBE level of DFT.

Calculated values
Energy above the most stable polymorph in this dataset: 0.0 meV/atom

Cell and atoms, written as CIF:
```
data_Er4TmZn
_chemical_formula_sum 'Er4 Tm1 Zn1'
_cell_length_a 3.506
_cell_length_b 3.506
_cell_length_c 13.549
_cell_angle_alpha 90.00
_cell_angle_beta 90.00
_cell_angle_gamma 90.00
_space_group_name_H-M_alt 'P 4/m m m'
_space_group_IT_number 123
_space_group_name_Hall '-P 4 2'
loop_
_atom_site_label
_atom_site_fract_x
_atom_site_fract_y
_atom_site_fract_z
_atom_site_occupancy
Er1 0.000 0.000 0.131 1
Er2 0.500 0.500 0.318 1
Tm1 0.000 0.000 0.500 1
Zn1 0.500 0.500 0.000 1
```

Computed, not measured: a relaxed structure of Er2TmZn3 at the GGA-PBE level of DFT.

Calculated values
DFT total energy: -3.25 eV per atom

Cell and atoms, written as CIF:
```
data_Er2TmZn3
_chemical_formula_sum 'Er2 Tm1 Zn3'
_cell_length_a 3.534
_cell_length_b 3.534
_cell_length_c 10.594
_cell_angle_alpha 90.00
_cell_angle_beta 90.00
_cell_angle_gamma 90.00
_space_group_name_H-M_alt 'P 4/m m m'
_space_group_IT_number 123
_space_group_name_Hall '-P 4 2'
loop_
_atom_site_label
_atom_site_fract_x
_atom_site_fract_y
_atom_site_fract_z
_atom_site_occupancy
Er1 0.000 0.000 0.167 1
Tm1 0.000 0.000 0.500 1
Zn1 0.500 0.500 0.000 1
Zn2 0.500 0.500 0.335 1
```

Computed, not measured: a relaxed structure of Er2Tm2Zn at the GGA-PBE level of DFT.

Calculated values
Energy above the most stable polymorph in this dataset: 132.2 meV/atom

Cell and atoms, written as CIF:
```
data_Er2Tm2Zn
_chemical_formula_sum 'Er8 Tm8 Zn4'
_cell_length_a 4.900
_cell_length_b 4.900
_cell_length_c 23.917
_cell_angle_alpha 90.00
_cell_angle_beta 90.00
_cell_angle_gamma 90.00
_space_group_name_H-M_alt 'I 41/a m d'
_space_group_IT_number 141
loop_
_space_group_symop_operation_xyz
'x,y,z'
'-x,-y,-z'
'-y+1/4,x+3/4,z+1/4'
'y+1/4,-x+3/4,-z+1/4'
'-x+1/2,-y,z+1/2'
'x+1/2,y,-z+1/2'
'y+1/4,-x+1/4,z+3/4'
'-y+1/4,x+1/4,-z+3/4'
'x,-y,-z'
'-x,y,z'
'-y+1/4,-x+1/4,-z+3/4'
'y+1/4,x+1/4,z+3/4'
'-x+1/2,y,-z+1/2'
'x+1/2,-y,z+1/2'
'y+1/4,x+3/4,-z+1/4'
'-y+1/4,-x+3/4,z+1/4'
'x+1/2,y+1/2,z+1/2'
'-x+1/2,-y+1/2,-z+1/2'
'-y+3/4,x+1/4,z+3/4'
'y+3/4,-x+1/4,-z+3/4'
'-x,-y+1/2,z'
'x,y+1/2,-z'
'y+3/4,-x+3/4,z+1/4'
'-y+3/4,x+3/4,-z+1/4'
'x+1/2,-y+1/2,-z+1/2'
'-x+1/2,y+1/2,z+1/2'
'-y+3/4,-x+3/4,-z+1/4'
'y+3/4,x+3/4,z+1/4'
'-x,y+1/2,-z'
'x,-y+1/2,z'
'y+3/4,x+1/4,-z+3/4'
'-y+3/4,-x+1/4,z+3/4'
loop_
_atom_site_label
_atom_site_fract_x
_atom_site_fract_y
_atom_site_fract_z
_atom_site_occupancy
Er1 0.000 0.250 0.051 1
Tm1 0.000 0.250 0.195 1
Zn1 0.000 0.250 0.875 1
```

Computed, not measured: a relaxed structure of ErTmZn10 at the GGA-PBE level of DFT.

Calculated values
DFT total energy: -2.07 eV per atom

Cell and atoms, written as CIF:
```
data_ErTmZn10
_chemical_formula_sum 'Er1 Tm1 Zn10'
_cell_length_a 4.205
_cell_length_b 5.292
_cell_length_c 9.108
_cell_angle_alpha 90.00
_cell_angle_beta 90.00
_cell_angle_gamma 90.00
_space_group_name_H-M_alt 'P m m m'
_space_group_IT_number 47
loop_
_space_group_symop_operation_xyz
'x,y,z'
'-x,-y,-z'
'-x,-y,z'
'x,y,-z'
'x,-y,-z'
'-x,y,z'
'-x,y,-z'
'x,-y,z'
loop_
_atom_site_label
_atom_site_fract_x
_atom_site_fract_y
_atom_site_fract_z
_atom_site_occupancy
Er1 0.000 0.000 0.000 1
Tm1 0.000 0.500 0.500 1
Zn1 0.000 0.000 0.335 1
Zn2 0.000 0.500 0.167 1
Zn3 0.500 0.000 0.500 1
Zn4 0.500 0.250 0.250 1
Zn5 0.500 0.500 0.000 1
```

Computed, not measured: a relaxed structure of ErTm2Zn4 at the GGA-PBE level of DFT.

Calculated values
DFT total energy: -2.81 eV per atom

Cell and atoms, written as CIF:
```
data_ErTm2Zn4
_chemical_formula_sum 'Er2 Tm4 Zn8'
_cell_length_a 5.064
_cell_length_b 5.064
_cell_length_c 12.422
_cell_angle_alpha 90.00
_cell_angle_beta 90.00
_cell_angle_gamma 90.00
_space_group_name_H-M_alt 'I 4/m m m'
_space_group_IT_number 139
_space_group_name_Hall '-I 4 2'
loop_
_atom_site_label
_atom_site_fract_x
_atom_site_fract_y
_atom_site_fract_z
_atom_site_occupancy
Er1 0.000 0.000 0.000 1
Tm1 0.000 0.000 0.271 1
Zn1 0.000 0.500 0.112 1
```

Computed, not measured: a relaxed structure of Er3Tm4Zn4 at the GGA-PBE level of DFT.

Calculated values
DFT total energy: -3.47 eV per atom

Cell and atoms, written as CIF:
```
data_Er3Tm4Zn4
_chemical_formula_sum 'Er6 Tm8 Zn8'
_cell_length_a 5.034
_cell_length_b 6.845
_cell_length_c 15.948
_cell_angle_alpha 90.00
_cell_angle_beta 90.00
_cell_angle_gamma 90.00
_space_group_name_H-M_alt 'I m m m'
_space_group_IT_number 71
_space_group_name_Hall '-I 2 2'
loop_
_atom_site_label
_atom_site_fract_x
_atom_site_fract_y
_atom_site_fract_z
_atom_site_occupancy
Er1 0.000 0.000 0.000 1
Er2 0.000 0.500 0.102 1
Tm1 0.000 0.267 0.320 1
Zn1 0.000 0.000 0.182 1
Zn2 0.000 0.187 0.500 1
```

Computed, not measured: a relaxed structure of ErTmZn4 at the GGA-PBE level of DFT.

Calculated values
Energy above the most stable polymorph in this dataset: 0.0 meV/atom

Cell and atoms, written as CIF:
```
data_ErTmZn4
_chemical_formula_sum 'Er2 Tm2 Zn8'
_cell_length_a 4.471
_cell_length_b 6.842
_cell_length_c 7.706
_cell_angle_alpha 90.00
_cell_angle_beta 90.00
_cell_angle_gamma 90.00
_space_group_name_H-M_alt 'I m m m'
_space_group_IT_number 71
_space_group_name_Hall '-I 2 2'
loop_
_atom_site_label
_atom_site_fract_x
_atom_site_fract_y
_atom_site_fract_z
_atom_site_occupancy
Er1 0.000 0.000 0.000 1
Tm1 0.000 0.500 0.000 1
Zn1 0.000 0.250 0.333 1
```

Computed, not measured: a relaxed structure of Er3TmZn4 at the GGA-PBE level of DFT.

Calculated values
DFT total energy: -3.26 eV per atom

Cell and atoms, written as CIF:
```
data_Er3TmZn4
_chemical_formula_sum 'Er9 Tm3 Zn12'
_cell_length_a 5.0007
_cell_length_b 5.0007
_cell_length_c 24.4512
_cell_angle_alpha 90.00
_cell_angle_beta 90.00
_cell_angle_gamma 120.00
_space_group_name_H-M_alt 'R -3 m'
_space_group_IT_number 166
_space_group_name_Hall '-R 3 2"'
loop_
_atom_site_label
_atom_site_fract_x
_atom_site_fract_y
_atom_site_fract_z
_atom_site_occupancy
Er1 0.0000 0.0000 0.0000 1
Er2 0.0000 0.0000 0.2498 1
Tm1 0.0000 0.0000 0.5000 1
Zn1 0.0000 0.0000 0.1251 1
Zn2 0.0000 0.0000 0.3751 1
```

no.,DOS at the Fermi energy (states/eV per atom)
1,1.074
2,1.042
3,0.570
4,1.332
5,0.332
6,0.571
7,1.213
8,0.951
9,1.043
10,1.050
11,1.008
12,1.376
13,1.268
14,0.997
15,1.680
16,0.424
17,0.573
18,0.656
19,0.685
20,0.929